Computed, not measured: crystalline BaInAu2 at its relaxed geometry at the PBE-GGA level of DFT.

abc: 5.316 5.316 5.316
angles: 60.00 60.00 60.00
Sites, in units of the cell vectors:
Ba 0.000 0.000 0.000
In 0.250 0.250 0.250
Au 0.500 0.500 0.500
Au 0.750 0.750 0.750

Values from the calculation:
calculated formation energy	-0.26	eV per atom
D(E_F)	4.34	states/eV/f.u.
size of the total moment	0.0000	μB per atom
crystal system	cubic